Model i:
PBE AcEr2Rh, relaxed; total magnetic moment = 0.000 μB per atom; Fermi-level density of states = 5.417 states/eV/f.u.
1.0
5.618 0.000 0.000
2.809 4.865 0.000
2.809 1.622 3.981
Er Rh Ac
2 1 1
Direct
0.225 0.225 0.326
0.775 0.775 0.674
0.000 0.000 0.000
0.500 0.500 0.500

Model ii:
PBE AcEr2Rh, relaxed; total magnetic moment = 0.000 μB per atom; Fermi-level density of states = 4.134 states/eV/f.u.
1.0
4.014 0.000 0.000
2.007 3.476 0.000
2.007 1.159 9.121
Er Ac Rh
2 1 1
Direct
0.052 0.052 0.843
0.280 0.280 0.161
0.502 0.502 0.495
0.666 0.666 0.001

What should be chosen as the least stable of them? Choose model i.

Model i:
PBE AcEr2Rh, relaxed; total magnetic moment = 0.000 μB per atom; Fermi-level density of states = 5.171 states/eV/f.u.
1.0
-0.715 -3.453 -0.346
3.342 -0.590 -1.017
2.368 -1.349 8.569
Rh Er Ac
1 2 1
Direct
0.500 0.500 0.000
0.000 0.000 0.177
0.000 0.000 0.823
0.500 0.500 0.500

Model ii:
PBE AcEr2Rh, relaxed; total magnetic moment = 0.000 μB per atom; Fermi-level density of states = 4.029 states/eV/f.u.
1.0
6.529 0.000 0.000
0.000 7.361 0.000
0.000 0.000 9.684
Er Rh Ac
8 4 4
Direct
0.666 0.826 0.931
0.834 0.326 0.569
0.334 0.174 0.431
0.666 0.826 0.569
0.834 0.326 0.931
0.334 0.174 0.069
0.166 0.674 0.431
0.166 0.674 0.069
0.913 0.618 0.750
0.087 0.382 0.250
0.587 0.118 0.750
0.413 0.882 0.250
0.641 0.539 0.250
0.359 0.461 0.750
0.141 0.961 0.750
0.859 0.039 0.250

What should be chosen as the least stable of them? Choose model i.